1.
A relaxed Ho2ErNpS6 crystal, computed with PBE.

Mass density, g cm⁻³: 6.025
Crystal system: trigonal
Raw formation energy, eV/atom: -1.846

Cell and atoms, written as CIF:
```
data_Ho2ErNpS6
_chemical_formula_sum 'Ho6 Er3 Np3 S18'
_symmetry_space_group_name_H-M 'R 3'
_symmetry_Int_Tables_number 146
_symmetry_space_group_name_Hall 'R 3'
_cell_length_a 6.9043
_cell_length_b 6.9043
_cell_length_c 18.5559
_cell_angle_alpha 90.00
_cell_angle_beta 90.00
_cell_angle_gamma 120.00
loop_
_atom_site_label
_atom_site_fract_x
_atom_site_fract_y
_atom_site_fract_z
Ho1 0.0000 0.0000 0.0000
Ho2 0.0000 0.0000 0.4971
Er1 0.0000 0.0000 0.6973
Np1 0.0000 0.0000 0.1998
S1 0.0001 0.3037 0.0972
S2 0.0101 0.7079 0.5979
```

2.
A relaxed HoErNp2S4 crystal, computed with PBE.

Mass density, g cm⁻³: 9.301
Crystal system: monoclinic
Raw formation energy, eV/atom: -1.663

Cell and atoms, written as CIF:
```
data_HoErNp2S4
_chemical_formula_sum 'Ho1 Er1 Np2 S4'
_symmetry_space_group_name_H-M 'P 1 2/m 1'
_symmetry_Int_Tables_number 10
_cell_length_a 6.714
_cell_length_b 3.896
_cell_length_c 6.770
_cell_angle_alpha 90.00
_cell_angle_beta 109.60
_cell_angle_gamma 90.00
loop_
_symmetry_equiv_pos_as_xyz
'x,y,z'
'-x,-y,-z'
'-x,y,-z'
'x,-y,z'
loop_
_atom_site_label
_atom_site_fract_x
_atom_site_fract_y
_atom_site_fract_z
Ho1 0.000 0.000 0.000
Er1 0.000 0.500 0.500
Np1 0.500 0.000 0.500
Np2 0.500 0.500 0.000
S1 0.245 0.000 0.749
S2 0.246 0.500 0.251
```

3.
A relaxed HoErNp2Sb4 crystal, computed with PBE.

Mass density, g cm⁻³: 9.032
Crystal system: monoclinic
Raw formation energy, eV/atom: -0.627

Cell and atoms, written as CIF:
```
data_HoErNp2Sb4
_chemical_formula_sum 'Ho1 Er1 Np2 Sb4'
_symmetry_space_group_name_H-M 'P 1 2/m 1'
_symmetry_Int_Tables_number 10
_cell_length_a 7.585
_cell_length_b 4.360
_cell_length_c 7.613
_cell_angle_alpha 90.00
_cell_angle_beta 109.18
_cell_angle_gamma 90.00
loop_
_symmetry_equiv_pos_as_xyz
'x,y,z'
'-x,-y,-z'
'-x,y,-z'
'x,-y,z'
loop_
_atom_site_label
_atom_site_fract_x
_atom_site_fract_y
_atom_site_fract_z
Ho1 0.000 0.000 0.000
Er1 0.000 0.500 0.500
Np1 0.500 0.000 0.500
Np2 0.500 0.500 0.000
Sb1 0.247 0.000 0.748
Sb2 0.247 0.500 0.249
```

4.
A relaxed HoErNp2Se4 crystal, computed with PBE.

Mass density, g cm⁻³: 9.742
Crystal system: monoclinic
Raw formation energy, eV/atom: -1.387

Cell and atoms, written as CIF:
```
data_HoErNp2Se4
_chemical_formula_sum 'Ho1 Er1 Np2 Se4'
_symmetry_space_group_name_H-M 'P 1 2/m 1'
_symmetry_Int_Tables_number 10
_cell_length_a 7.018
_cell_length_b 4.072
_cell_length_c 7.102
_cell_angle_alpha 90.00
_cell_angle_beta 109.54
_cell_angle_gamma 90.00
loop_
_symmetry_equiv_pos_as_xyz
'x,y,z'
'-x,-y,-z'
'-x,y,-z'
'x,-y,z'
loop_
_atom_site_label
_atom_site_fract_x
_atom_site_fract_y
_atom_site_fract_z
Ho1 0.000 0.000 0.000
Er1 0.000 0.500 0.500
Np1 0.500 0.000 0.500
Np2 0.500 0.500 0.000
Se1 0.244 0.000 0.748
Se2 0.244 0.500 0.250
```

5.
A relaxed Ho3ErO6 crystal, computed with PBE.

Mass density, g cm⁻³: 8.440
Crystal system: trigonal
Raw formation energy, eV/atom: -3.600

Cell and atoms, written as CIF:
```
data_Ho3ErO6
_chemical_formula_sum 'Ho18 Er6 O36'
_symmetry_space_group_name_H-M 'R -3'
_symmetry_Int_Tables_number 148
_symmetry_space_group_name_Hall '-R 3'
_cell_length_a 9.5809
_cell_length_b 9.5809
_cell_length_c 11.2562
_cell_angle_alpha 90.00
_cell_angle_beta 90.00
_cell_angle_gamma 120.00
loop_
_atom_site_label
_atom_site_fract_x
_atom_site_fract_y
_atom_site_fract_z
Ho1 0.0392 0.7734 0.2094
Er1 0.0000 0.0000 0.0000
Er2 0.0000 0.0000 0.5000
O1 0.0261 0.8083 0.4028
O2 0.0280 0.8404 0.8708
```

6.
A relaxed HoEr3O6 crystal, computed with PBE.

Mass density, g cm⁻³: 8.801
Relative energy among the computed polymorphs, eV/atom: 0.019
Crystal system: trigonal
Raw formation energy, eV/atom: -3.583

Cell and atoms, written as CIF:
```
data_HoEr3O6
_chemical_formula_sum 'Ho3 Er9 O18'
_symmetry_space_group_name_H-M 'R 3'
_symmetry_Int_Tables_number 146
_symmetry_space_group_name_Hall 'R 3'
_cell_length_a 5.7524
_cell_length_b 5.7524
_cell_length_c 15.0653
_cell_angle_alpha 90.00
_cell_angle_beta 90.00
_cell_angle_gamma 120.00
loop_
_atom_site_label
_atom_site_fract_x
_atom_site_fract_y
_atom_site_fract_z
Ho1 0.0000 0.0000 0.0000
Er1 0.0000 0.0000 0.2160
Er2 0.0000 0.0000 0.5007
Er3 0.0000 0.0000 0.7164
O1 0.0399 0.6673 0.7755
O2 0.0421 0.3732 0.2752
```